(1)
8
Lattice="-3.858 3.858 4.529 3.858 -3.858 4.529 3.858 3.858 -4.529" Properties=species:S:1:pos:R:3 comment="Rb2TiCl5 PBE optimized geometry" polymorph_energy_mev_per_atom=26.3 raw_formation_energy_ev_per_atom=-1.77 density_g_cm3=2.44 space_group=I4mm dos_at_fermi_per_ev_cell=2.8 pbc="T T T"
Rb 3.858 0.000 0.000
Rb 0.000 3.858 0.000
Ti 0.000 0.000 1.784
Cl 2.201 2.201 -2.192
Cl 1.657 -1.657 2.337
Cl -1.657 1.657 2.337
Cl 1.657 1.657 2.337
Cl 0.000 0.000 8.614

---

(2)
10
Lattice="4.216 0.000 0.000 -2.107 7.009 0.000 -0.001 -0.204 9.821" Properties=species:S:1:pos:R:3 comment="Nd3CdGe PBE optimized geometry" density_g_cm3=7.07 formation_energy_ev_per_atom=-0.407 space_group=P-1 dos_at_fermi_per_ev_cell=8.2 pbc="T T T"
Nd -0.001 0.664 1.496
Nd -0.001 3.228 8.117
Nd 0.003 5.814 3.652
Nd 2.105 0.990 6.170
Nd 2.109 3.577 1.705
Nd 2.109 6.141 8.325
Cd -0.004 2.467 4.183
Cd 2.112 4.338 5.639
Ge 0.002 5.472 0.673
Ge 2.106 1.333 9.148

---

(3)
5
Lattice="4.218 0.000 0.000 0.000 4.218 0.000 0.000 0.000 4.143" Properties=species:S:1:pos:R:3 comment="Zn2TcCCl PBE optimized geometry" raw_formation_energy_ev_per_atom=0.64 density_g_cm3=6.22 space_group=P4/mmm dos_at_fermi_per_ev_cell=2.4 pbc="T T T"
Zn 0.000 2.109 0.000
Zn 2.109 0.000 0.000
Tc 0.000 0.000 2.072
C 0.000 0.000 0.000
Cl 2.109 2.109 2.072

---

(4)
3
Lattice="0.000 3.733 3.733 3.733 0.000 3.733 3.733 3.733 0.000" Properties=species:S:1:pos:R:3 comment="CaMgTe PBE optimized geometry" polymorph_energy_mev_per_atom=236.8 raw_formation_energy_ev_per_atom=-0.50 density_g_cm3=3.06 space_group=F-43m pbc="T T T"
Ca 0.000 0.000 0.000
Mg 1.866 1.866 1.866
Te 5.599 5.599 5.599

---

(5)
4
Lattice="0.000 2.864 2.864 2.864 0.000 2.864 2.864 2.864 0.000" Properties=species:S:1:pos:R:3 comment="Mg2BN PBE optimized geometry" polymorph_energy_mev_per_atom=170.7 raw_formation_energy_ev_per_atom=0.72 density_g_cm3=2.59 space_group=Fm-3m dos_at_fermi_per_ev_cell=1.8 pbc="T T T"
Mg 1.432 1.432 1.432
Mg 4.296 4.296 4.296
B 0.000 0.000 0.000
N 2.864 2.864 2.864

---

(6)
20
Lattice="7.708 0.000 0.000 0.000 4.128 0.000 0.000 0.000 15.931" Properties=species:S:1:pos:R:3 comment="CeTmSe3 PBE optimized geometry" polymorph_energy_mev_per_atom=0.0 raw_formation_energy_ev_per_atom=-1.84 density_g_cm3=7.15 space_group=Pnma dos_at_fermi_per_ev_cell=24.3 pbc="T T T"
Ce 1.065 1.032 3.205
Ce 2.789 3.096 11.170
Ce 4.919 1.032 4.761
Ce 6.643 3.096 12.726
Tm 1.773 3.096 7.280
Tm 2.081 1.032 15.245
Tm 5.627 3.096 0.686
Tm 5.935 1.032 8.651
Se 0.075 1.032 6.301
Se 0.955 3.096 0.984
Se 1.171 1.032 12.488
Se 2.683 3.096 4.523
Se 2.899 1.032 8.949
Se 3.779 3.096 14.266
Se 3.930 1.032 1.664
Se 4.809 3.096 6.981
Se 5.025 1.032 11.408
Se 6.537 3.096 3.443
Se 6.753 1.032 14.947
Se 7.633 3.096 9.630

---

(7)
4
Lattice="2.109 1.218 8.323 -2.109 1.218 8.323 0.000 -2.436 8.323" Properties=species:S:1:pos:R:3 comment="Sr2SiSe PBE optimized geometry" polymorph_energy_mev_per_atom=0.0 raw_formation_energy_ev_per_atom=-0.93 density_g_cm3=3.65 space_group=R-3m dos_at_fermi_per_ev_cell=1.3 pbc="T T T"
Sr 0.000 0.000 6.057
Sr 0.000 0.000 18.913
Si 0.000 0.000 0.000
Se 0.000 0.000 12.485

---

(8)
6
Lattice="3.757 0.000 0.000 0.000 3.757 0.000 0.000 0.000 11.586" Properties=species:S:1:pos:R:3 comment="Pm3In2Ga PBE optimized geometry" density_g_cm3=7.46 formation_energy_ev_per_atom=-0.515 space_group=P4/mmm dos_at_fermi_per_ev_cell=3.9 pbc="T T T"
Pm 0.000 0.000 0.000
Pm 0.000 0.000 4.000
Pm 0.000 0.000 7.586
In 1.879 1.879 1.993
In 1.879 1.879 9.593
Ga 1.879 1.879 5.793

---

no.,calculated total energy (eV per cell)
1,-33.24
2,-43.75
3,-20.80
4,-8.23
5,-15.33
6,-120.18
7,-15.99
8,-25.84